No. 1
This record from Alexandria describes crystalline TaVRuW at its relaxed geometry. The functional is PBE.

The structure in CIF format:
```
data_TaVRuW
_chemical_formula_sum 'Ta2 V2 Ru2 W2'
_symmetry_space_group_name_H-M 'A m m 2'
_symmetry_Int_Tables_number 38
_cell_length_a 3.012
_cell_length_b 3.164
_cell_length_c 14.746
_cell_angle_alpha 90.00
_cell_angle_beta 90.00
_cell_angle_gamma 90.00
loop_
_symmetry_equiv_pos_as_xyz
'x,y,z'
'-x,-y,z'
'-x,y,z'
'x,-y,z'
'x,y+1/2,z+1/2'
'-x,-y+1/2,z+1/2'
'-x,y+1/2,z+1/2'
'x,-y+1/2,z+1/2'
loop_
_atom_site_label
_atom_site_fract_x
_atom_site_fract_y
_atom_site_fract_z
Ta1 0.000 0.000 0.000
V1 0.500 0.000 0.243
Ru1 0.500 0.000 0.399
W1 0.000 0.000 0.649
```

---

No. 2
This record from Alexandria describes crystalline TbPrAl2Pd5 at its relaxed geometry. The functional is PBE.

The structure in CIF format:
```
data_TbPrAl2Pd5
_chemical_formula_sum 'Tb1 Pr1 Al2 Pd5'
_symmetry_space_group_name_H-M 'P 4/m m m'
_symmetry_Int_Tables_number 123
_symmetry_space_group_name_Hall '-P 4 2'
_cell_length_a 4.295
_cell_length_b 4.295
_cell_length_c 9.251
_cell_angle_alpha 90.00
_cell_angle_beta 90.00
_cell_angle_gamma 90.00
loop_
_atom_site_label
_atom_site_fract_x
_atom_site_fract_y
_atom_site_fract_z
Tb1 0.000 0.000 0.000
Pr1 0.000 0.000 0.500
Al1 0.500 0.500 0.140
Pd1 0.000 0.500 0.270
Pd2 0.500 0.500 0.500
```

---

no.,ΔH_f (0 K) (meV per atom),total DFT energy (no corrections) (eV per atom)
1,588.1,-10.21
2,-790.1,-5.55